{
  "formula": "Pr2TmTh",
  "functional": "PBE",
  "state": "relaxed",
  "lattice_angstrom": [[3.6250, 0.0000, 0.0000], [0.0000, 3.6250, 0.0000], [0.0000, 0.0000, 10.2791]],
  "species": ["Pr", "Pr", "Tm", "Th"],
  "fractional_positions": [[0.0000, 0.0000, 0.2462], [0.0000, 0.0000, 0.7538], [0.5000, 0.5000, 0.5000], [0.5000, 0.5000, 0.0000]],
  "final_energy_ev_per_cell": -21.21,
  "e_above_lowest_polymorph_ev_per_atom": 0.028,
  "spacegroup": "No. 123"
}